Model i:
! MoP2Ir (PBE-GGA, optimized geometry); values from VASP
&SYSTEM
  ibrav = 0, nat = 4, ntyp = 3
/
ATOMIC_SPECIES
Ir 192.22 Ir.upf
Mo 95.94 Mo.upf
P 30.97 P.upf
CELL_PARAMETERS angstrom
4.2055 0.0018 0.0000
-0.0009 4.2055 0.0000
0.0000 0.0000 3.0401
ATOMIC_POSITIONS crystal
Ir 0.5000 0.0000 0.5000
Mo 0.0000 0.5000 0.5000
P 0.0000 0.0000 0.0000
P 0.5000 0.5000 0.0000
! theoretical density = 10.812 g cm⁻³
! spin magnetization = 0.00 Bohr magnetons per cell
! symmetry = No. 123
! Fermi-level density of states = 3.2 states/eV/cell

Model ii:
! MoP2Ir (PBE-GGA, optimized geometry); values from VASP
&SYSTEM
  ibrav = 0, nat = 4, ntyp = 3
/
ATOMIC_SPECIES
P 30.97 P.upf
Mo 95.94 Mo.upf
Ir 192.22 Ir.upf
CELL_PARAMETERS angstrom
1.8973 -0.9068 3.6807
-1.1932 1.9915 3.5468
-2.1109 -2.1119 3.0089
ATOMIC_POSITIONS crystal
P 0.2500 0.2500 0.2500
P 0.7500 0.7500 0.7500
Mo 0.0000 0.0000 0.0000
Ir 0.5000 0.5000 0.5000
! theoretical density = 10.793 g cm⁻³
! spin magnetization = 0.00 Bohr magnetons per cell
! symmetry = No. 225
! Fermi-level density of states = 1.3 states/eV/cell

Model iii:
! MoP2Ir (PBE-GGA, optimized geometry); values from VASP
&SYSTEM
  ibrav = 0, nat = 4, ntyp = 3
/
ATOMIC_SPECIES
Ir 192.22 Ir.upf
Mo 95.94 Mo.upf
P 30.97 P.upf
CELL_PARAMETERS angstrom
-2.0741 -2.0710 0.6979
3.5071 -3.6696 -0.4664
0.8775 0.3683 3.7007
ATOMIC_POSITIONS crystal
Ir 0.5000 0.0000 0.5000
Mo 0.0000 0.5000 0.5000
P 0.0000 0.0000 0.0000
P 0.5000 0.5000 0.0000
! theoretical density = 9.906 g cm⁻³
! spin magnetization = 0.00 Bohr magnetons per cell
! symmetry = No. 47
! Fermi-level density of states = 3.1 states/eV/cell

Model iv:
! MoP2Ir (PBE-GGA, optimized geometry); values from VASP
&SYSTEM
  ibrav = 0, nat = 4, ntyp = 3
/
ATOMIC_SPECIES
Ir 192.22 Ir.upf
Mo 95.94 Mo.upf
P 30.97 P.upf
CELL_PARAMETERS angstrom
-2.5360 -0.7060 -1.2031
-0.4023 -2.0201 2.0333
-3.5910 5.2393 4.4946
ATOMIC_POSITIONS crystal
Ir 0.0000 0.0000 0.4915
Mo 0.5000 0.5000 0.7580
P 0.0000 0.0000 0.9382
P 0.5000 0.5000 0.3123
! theoretical density = 8.919 g cm⁻³
! spin magnetization = 0.00 Bohr magnetons per cell
! symmetry = No. 99
! Fermi-level density of states = 3.2 states/eV/cell

Short version: model i, model ii, model iv, model iii, most stable first.

Model i:
! MoP2Ir (PBE-GGA, optimized geometry); values from VASP
&SYSTEM
  ibrav = 0, nat = 4, ntyp = 3
/
ATOMIC_SPECIES
Ir 192.22 Ir.upf
Mo 95.94 Mo.upf
P 30.97 P.upf
CELL_PARAMETERS angstrom
7.7036 0.0130 0.0077
7.1386 2.8960 0.0077
7.1386 1.3992 2.5356
ATOMIC_POSITIONS crystal
Ir 0.2500 0.2500 0.2500
Mo 0.7500 0.7500 0.7500
P 0.0009 0.0009 0.0009
P 0.4991 0.4991 0.4991
! theoretical density = 10.350 g cm⁻³
! spin magnetization = 0.00 Bohr magnetons per cell
! symmetry = No. 166
! Fermi-level density of states = 2.8 states/eV/cell

Model ii:
! MoP2Ir (PBE-GGA, optimized geometry); values from VASP
&SYSTEM
  ibrav = 0, nat = 4, ntyp = 3
/
ATOMIC_SPECIES
Ir 192.22 Ir.upf
Mo 95.94 Mo.upf
P 30.97 P.upf
CELL_PARAMETERS angstrom
-0.7922 -2.8110 -0.2338
1.0556 0.7137 2.6382
-6.8362 1.7382 2.2651
ATOMIC_POSITIONS crystal
Ir 0.5000 0.5000 0.2500
Mo 0.5000 0.5000 0.7500
P 0.0000 0.0000 0.0018
P 0.0000 0.0000 0.4982
! theoretical density = 9.989 g cm⁻³
! spin magnetization = 0.00 Bohr magnetons per cell
! symmetry = No. 65
! Fermi-level density of states = 2.7 states/eV/cell

Short version: model i, model ii, most stable first.

Model i:
! MoP2Ir (PBE-GGA, optimized geometry); values from VASP
&SYSTEM
  ibrav = 0, nat = 4, ntyp = 3
/
ATOMIC_SPECIES
Ir 192.22 Ir.upf
Mo 95.94 Mo.upf
P 30.97 P.upf
CELL_PARAMETERS angstrom
-2.7674 -2.8256 -1.1795
-0.5263 -2.7122 -3.0661
1.8454 -4.3789 1.9289
ATOMIC_POSITIONS crystal
Ir 0.7500 0.7500 0.7500
Mo 0.2500 0.2500 0.2500
P 0.0024 0.0024 0.0146
P 0.4976 0.4976 0.4854
! theoretical density = 10.357 g cm⁻³
! spin magnetization = 0.00 Bohr magnetons per cell
! symmetry = No. 12
! Fermi-level density of states = 2.0 states/eV/cell

Model ii:
! MoP2Ir (PBE-GGA, optimized geometry); values from VASP
&SYSTEM
  ibrav = 0, nat = 4, ntyp = 3
/
ATOMIC_SPECIES
Ir 192.22 Ir.upf
Mo 95.94 Mo.upf
P 30.97 P.upf
CELL_PARAMETERS angstrom
-0.4499 2.4124 2.1630
0.2565 -2.1503 2.4516
5.2276 0.8202 0.1726
ATOMIC_POSITIONS crystal
Ir 0.0000 0.0000 0.4288
Mo 0.5000 0.5000 0.8079
P 0.0000 0.0000 0.9755
P 0.5000 0.5000 0.2879
! theoretical density = 10.262 g cm⁻³
! spin magnetization = 0.00 Bohr magnetons per cell
! symmetry = No. 99
! Fermi-level density of states = 3.7 states/eV/cell

Model iii:
! MoP2Ir (PBE-GGA, optimized geometry); values from VASP
&SYSTEM
  ibrav = 0, nat = 4, ntyp = 3
/
ATOMIC_SPECIES
Ir 192.22 Ir.upf
Mo 95.94 Mo.upf
P 30.97 P.upf
CELL_PARAMETERS angstrom
-3.9313 -2.1223 0.5689
0.7799 -0.4444 3.7311
-1.2793 3.1069 2.7495
ATOMIC_POSITIONS crystal
Ir 0.0000 0.4052 0.5712
Mo 0.5000 0.8442 0.6808
P 0.0000 0.7169 0.9244
P 0.5000 0.5337 0.3236
! theoretical density = 8.794 g cm⁻³
! spin magnetization = 0.00 Bohr magnetons per cell
! symmetry = No. 6
! Fermi-level density of states = 1.8 states/eV/cell

Short version: model iii, model ii, model i, most stable first.

Model i:
! Mo3PIr (PBE-GGA, optimized geometry); values from VASP
&SYSTEM
  ibrav = 0, nat = 5, ntyp = 3
/
ATOMIC_SPECIES
P 30.97 P.upf
Mo 95.94 Mo.upf
Ir 192.22 Ir.upf
CELL_PARAMETERS angstrom
4.3856 0.0000 0.0000
0.0000 4.3856 0.0000
0.0000 0.0000 4.3856
ATOMIC_POSITIONS crystal
P 0.0000 0.0000 0.0000
Mo 0.0000 0.5000 0.0000
Mo 0.0000 0.0000 0.5000
Mo 0.5000 0.0000 0.0000
Ir 0.5000 0.5000 0.5000
! theoretical density = 10.060 g cm⁻³
! spin magnetization = 0.00 Bohr magnetons per cell
! symmetry = No. 221
! Fermi-level density of states = 2.4 states/eV/cell

Model ii:
! Mo3PIr (PBE-GGA, optimized geometry); values from VASP
&SYSTEM
  ibrav = 0, nat = 5, ntyp = 3
/
ATOMIC_SPECIES
P 30.97 P.upf
Mo 95.94 Mo.upf
Ir 192.22 Ir.upf
CELL_PARAMETERS angstrom
4.7523 0.0000 0.0000
0.0000 4.7523 0.0000
0.0000 0.0000 4.7523
ATOMIC_POSITIONS crystal
P 0.5000 0.5000 0.5000
Mo 0.0000 0.5000 0.0000
Mo 0.0000 0.0000 0.5000
Mo 0.5000 0.0000 0.0000
Ir 0.0000 0.0000 0.0000
! theoretical density = 7.906 g cm⁻³
! spin magnetization = 1.32 Bohr magnetons per cell
! symmetry = No. 221
! Fermi-level density of states = 7.2 states/eV/cell

Short version: model i, model ii, most stable first.

Model i:
! PaMoIr2 (PBE-GGA, optimized geometry); values from VASP
&SYSTEM
  ibrav = 0, nat = 4, ntyp = 3
/
ATOMIC_SPECIES
Mo 95.94 Mo.upf
Pa 231.04 Pa.upf
Ir 192.22 Ir.upf
CELL_PARAMETERS angstrom
4.2806 0.0000 0.0000
2.1403 3.7071 0.0000
2.1403 1.2357 4.9211
ATOMIC_POSITIONS crystal
Mo 0.5000 0.5000 0.5000
Pa 0.0000 0.0000 0.0000
Ir 0.7805 0.7805 0.6585
Ir 0.2195 0.2195 0.3415
! theoretical density = 15.128 g cm⁻³
! spin magnetization = 0.00 Bohr magnetons per cell
! symmetry = No. 166
! Fermi-level density of states = 5.3 states/eV/cell

Model ii:
! PaMoIr2 (PBE-GGA, optimized geometry); values from VASP
&SYSTEM
  ibrav = 0, nat = 4, ntyp = 3
/
ATOMIC_SPECIES
Mo 95.94 Mo.upf
Pa 231.04 Pa.upf
Ir 192.22 Ir.upf
CELL_PARAMETERS angstrom
-2.9663 -2.6157 -0.9212
2.7880 -3.0444 -0.3334
-0.4758 -0.8761 4.0198
ATOMIC_POSITIONS crystal
Mo 0.5000 0.5000 0.5000
Pa 0.5000 0.0000 0.0000
Ir 0.0000 0.0000 0.5000
Ir 0.0000 0.5000 0.0000
! theoretical density = 16.961 g cm⁻³
! spin magnetization = 0.00 Bohr magnetons per cell
! symmetry = No. 123
! Fermi-level density of states = 4.2 states/eV/cell

Short version: model ii, model i, most stable first.

Model i:
! Pa2MoIr (PBE-GGA, optimized geometry); values from VASP
&SYSTEM
  ibrav = 0, nat = 4, ntyp = 3
/
ATOMIC_SPECIES
Mo 95.94 Mo.upf
Pa 231.04 Pa.upf
Ir 192.22 Ir.upf
CELL_PARAMETERS angstrom
3.5555 0.0000 0.0000
0.0000 3.5555 0.0000
0.0000 0.0000 6.5850
ATOMIC_POSITIONS crystal
Mo 0.5000 0.5000 0.5000
Pa 0.0000 0.0000 0.7588
Pa 0.0000 0.0000 0.2412
Ir 0.5000 0.5000 0.0000
! theoretical density = 14.965 g cm⁻³
! spin magnetization = 0.00 Bohr magnetons per cell
! symmetry = No. 123
! Fermi-level density of states = 5.2 states/eV/cell

Model ii:
! Pa2MoIr (PBE-GGA, optimized geometry); values from VASP
&SYSTEM
  ibrav = 0, nat = 4, ntyp = 3
/
ATOMIC_SPECIES
Mo 95.94 Mo.upf
Pa 231.04 Pa.upf
Ir 192.22 Ir.upf
CELL_PARAMETERS angstrom
-0.5460 -0.5307 -3.4579
-0.9597 -3.2011 -1.1700
-8.9931 0.9337 -0.5360
ATOMIC_POSITIONS crystal
Mo 0.0000 0.0000 0.0000
Pa 0.0943 0.0943 0.7170
Pa 0.9057 0.9057 0.2830
Ir 0.5000 0.5000 0.5000
! theoretical density = 13.004 g cm⁻³
! spin magnetization = 0.00 Bohr magnetons per cell
! symmetry = No. 166
! Fermi-level density of states = 4.3 states/eV/cell

Short version: model i, model ii, most stable first.

Model i:
! MoIr2Pd (PBE-GGA, optimized geometry); values from VASP
&SYSTEM
  ibrav = 0, nat = 8, ntyp = 3
/
ATOMIC_SPECIES
Mo 95.94 Mo.upf
Ir 192.22 Ir.upf
Pd 106.42 Pd.upf
CELL_PARAMETERS angstrom
-6.6418 1.8130 1.6529
-2.0605 -1.5330 -6.5982
-4.8592 -2.4052 -1.7226
ATOMIC_POSITIONS crystal
Mo 0.5000 0.5000 0.0000
Mo 0.2500 0.7500 0.5000
Ir 0.5902 0.1250 0.2500
Ir 0.1598 0.6250 0.2500
Ir 0.3750 0.4098 0.7500
Ir 0.8750 0.8402 0.7500
Pd 0.0000 0.0000 0.0000
Pd 0.7500 0.2500 0.5000
! theoretical density = 14.389 g cm⁻³
! spin magnetization = 0.00 Bohr magnetons per cell
! symmetry = No. 122
! Fermi-level density of states = 0.8 states/eV/cell

Model ii:
! MoIr2Pd (PBE-GGA, optimized geometry); values from VASP
&SYSTEM
  ibrav = 0, nat = 4, ntyp = 3
/
ATOMIC_SPECIES
Mo 95.94 Mo.upf
Ir 192.22 Ir.upf
Pd 106.42 Pd.upf
CELL_PARAMETERS angstrom
0.0000 3.1227 3.1227
3.1227 0.0000 3.1227
3.1227 3.1227 0.0000
ATOMIC_POSITIONS crystal
Mo 0.0000 0.0000 0.0000
Ir 0.2500 0.2500 0.2500
Ir 0.7500 0.7500 0.7500
Pd 0.5000 0.5000 0.5000
! theoretical density = 16.000 g cm⁻³
! spin magnetization = 0.00 Bohr magnetons per cell
! symmetry = No. 225
! Fermi-level density of states = 2.4 states/eV/cell

Short version: model ii, model i, most stable first.

Model i:
! Mo2Ir2Pd (PBE-GGA, optimized geometry); values from VASP
&SYSTEM
  ibrav = 0, nat = 10, ntyp = 3
/
ATOMIC_SPECIES
Mo 95.94 Mo.upf
Ir 192.22 Ir.upf
Pd 106.42 Pd.upf
CELL_PARAMETERS angstrom
7.6429 0.0000 0.0000
0.0000 7.6429 0.0000
0.0000 0.0000 2.7663
ATOMIC_POSITIONS crystal
Mo 0.3748 0.8748 0.0000
Mo 0.8748 0.6252 0.0000
Mo 0.6252 0.1252 0.0000
Mo 0.1252 0.3748 0.0000
Ir 0.1663 0.6663 0.5000
Ir 0.6663 0.8337 0.5000
Ir 0.8337 0.3337 0.5000
Ir 0.3337 0.1663 0.5000
Pd 0.0000 0.0000 0.0000
Pd 0.5000 0.5000 0.0000
! theoretical density = 14.032 g cm⁻³
! spin magnetization = 0.00 Bohr magnetons per cell
! symmetry = No. 127
! Fermi-level density of states = 8.0 states/eV/cell

Model ii:
! Mo2Ir2Pd (PBE-GGA, optimized geometry); values from VASP
&SYSTEM
  ibrav = 0, nat = 5, ntyp = 3
/
ATOMIC_SPECIES
Mo 95.94 Mo.upf
Ir 192.22 Ir.upf
Pd 106.42 Pd.upf
CELL_PARAMETERS angstrom
-1.9662 -3.0216 1.1567
0.3675 -1.5534 -3.4331
4.2893 -4.9322 0.6031
ATOMIC_POSITIONS crystal
Mo 0.3980 0.3980 0.2040
Mo 0.6020 0.6020 0.7960
Ir 0.7500 0.2500 0.5000
Ir 0.2500 0.7500 0.5000
Pd 0.0000 0.0000 0.0000
! theoretical density = 13.196 g cm⁻³
! spin magnetization = 0.00 Bohr magnetons per cell
! symmetry = No. 139
! Fermi-level density of states = 5.3 states/eV/cell

Short version: model i, model ii, most stable first.

Model i:
! Mo2IrPd (PBE-GGA, optimized geometry); values from VASP
&SYSTEM
  ibrav = 0, nat = 4, ntyp = 3
/
ATOMIC_SPECIES
Mo 95.94 Mo.upf
Ir 192.22 Ir.upf
Pd 106.42 Pd.upf
CELL_PARAMETERS angstrom
2.7533 0.0000 0.0000
1.3766 2.3844 0.0000
1.3766 0.7948 9.7623
ATOMIC_POSITIONS crystal
Mo 0.0896 0.0896 0.7311
Mo 0.9104 0.9104 0.2689
Ir 0.5000 0.5000 0.5000
Pd 0.0000 0.0000 0.0000
! theoretical density = 12.709 g cm⁻³
! spin magnetization = 0.00 Bohr magnetons per cell
! symmetry = No. 166
! Fermi-level density of states = 5.3 states/eV/cell

Model ii:
! Mo2IrPd (PBE-GGA, optimized geometry); values from VASP
&SYSTEM
  ibrav = 0, nat = 8, ntyp = 3
/
ATOMIC_SPECIES
Mo 95.94 Mo.upf
Ir 192.22 Ir.upf
Pd 106.42 Pd.upf
CELL_PARAMETERS angstrom
3.8177 0.0000 0.0000
0.0000 3.8177 0.0000
1.9089 1.9089 9.1234
ATOMIC_POSITIONS crystal
Mo 0.6380 0.1250 0.2500
Mo 0.1120 0.6250 0.2500
Mo 0.3750 0.3620 0.7500
Mo 0.8750 0.8880 0.7500
Ir 0.0000 0.0000 0.0000
Ir 0.7500 0.2500 0.5000
Pd 0.5000 0.5000 0.0000
Pd 0.2500 0.7500 0.5000
! theoretical density = 12.251 g cm⁻³
! spin magnetization = 0.00 Bohr magnetons per cell
! symmetry = No. 122
! Fermi-level density of states = 8.5 states/eV/cell

Model iii:
! Mo2IrPd (PBE-GGA, optimized geometry); values from VASP
&SYSTEM
  ibrav = 0, nat = 4, ntyp = 3
/
ATOMIC_SPECIES
Mo 95.94 Mo.upf
Ir 192.22 Ir.upf
Pd 106.42 Pd.upf
CELL_PARAMETERS angstrom
2.4343 -0.1128 3.7286
0.0348 3.5086 2.7440
-2.0114 -0.2544 3.9662
ATOMIC_POSITIONS crystal
Mo 0.2500 0.2500 0.2500
Mo 0.7500 0.7500 0.7500
Ir 0.5000 0.5000 0.5000
Pd 0.0000 0.0000 0.0000
! theoretical density = 13.034 g cm⁻³
! spin magnetization = 0.00 Bohr magnetons per cell
! symmetry = No. 225
! Fermi-level density of states = 6.3 states/eV/cell

Short version: model i, model iii, model ii, most stable first.

Model i:
! Mo2IrPt (PBE-GGA, optimized geometry); values from VASP
&SYSTEM
  ibrav = 0, nat = 4, ntyp = 3
/
ATOMIC_SPECIES
Mo 95.94 Mo.upf
Ir 192.22 Ir.upf
Pt 195.08 Pt.upf
CELL_PARAMETERS angstrom
-2.4423 1.2061 -0.3723
-0.5674 -0.3247 2.6704
3.3069 7.1826 1.5761
ATOMIC_POSITIONS crystal
Mo 0.0000 0.0000 0.9933
Mo 0.0000 0.0000 0.5067
Ir 0.5000 0.5000 0.7500
Pt 0.5000 0.5000 0.2500
! theoretical density = 15.782 g cm⁻³
! spin magnetization = 0.00 Bohr magnetons per cell
! symmetry = No. 123
! Fermi-level density of states = 2.6 states/eV/cell

Model ii:
! Mo2IrPt (PBE-GGA, optimized geometry); values from VASP
&SYSTEM
  ibrav = 0, nat = 4, ntyp = 3
/
ATOMIC_SPECIES
Mo 95.94 Mo.upf
Ir 192.22 Ir.upf
Pt 195.08 Pt.upf
CELL_PARAMETERS angstrom
-4.3173 0.5882 1.0284
-0.6014 -2.4529 -1.1220
0.7392 -2.1676 4.3432
ATOMIC_POSITIONS crystal
Mo 0.0000 0.1250 0.9572
Mo 0.5000 0.1250 0.2912
Ir 0.5000 0.6249 0.7959
Pt 0.0000 0.6251 0.4557
! theoretical density = 15.832 g cm⁻³
! spin magnetization = 0.00 Bohr magnetons per cell
! symmetry = No. 25
! Fermi-level density of states = 1.8 states/eV/cell

Model iii:
! Mo2IrPt (PBE-GGA, optimized geometry); values from VASP
&SYSTEM
  ibrav = 0, nat = 4, ntyp = 3
/
ATOMIC_SPECIES
Ir 192.22 Ir.upf
Mo 95.94 Mo.upf
Pt 195.08 Pt.upf
CELL_PARAMETERS angstrom
-2.2906 -0.7937 3.7299
0.0342 -4.0639 1.8090
2.1562 -0.7140 3.8249
ATOMIC_POSITIONS crystal
Ir 0.5000 0.5000 0.5000
Mo 0.0000 0.0000 0.0000
Mo 0.2500 0.2500 0.2500
Pt 0.7500 0.7500 0.7500
! theoretical density = 15.450 g cm⁻³
! spin magnetization = 0.00 Bohr magnetons per cell
! symmetry = No. 216
! Fermi-level density of states = 3.6 states/eV/cell

Model iv:
! Mo2IrPt (PBE-GGA, optimized geometry); values from VASP
&SYSTEM
  ibrav = 0, nat = 8, ntyp = 3
/
ATOMIC_SPECIES
Mo 95.94 Mo.upf
Ir 192.22 Ir.upf
Pt 195.08 Pt.upf
CELL_PARAMETERS angstrom
-1.1029 -5.1154 4.8176
-3.7872 -3.6749 -4.7691
-0.2057 -5.6454 -0.7907
ATOMIC_POSITIONS crystal
Mo 0.6020 0.1250 0.2500
Mo 0.1480 0.6250 0.2500
Mo 0.3750 0.3980 0.7500
Mo 0.8750 0.8520 0.7500
Ir 0.5000 0.5000 0.0000
Ir 0.2500 0.7500 0.5000
Pt 0.0000 0.0000 0.0000
Pt 0.7500 0.2500 0.5000
! theoretical density = 14.128 g cm⁻³
! spin magnetization = 0.00 Bohr magnetons per cell
! symmetry = No. 122
! Fermi-level density of states = 6.1 states/eV/cell

Short version: model ii, model i, model iii, model iv, most stable first.